#P
ScCrRe | meta-GGA SCAN | single point on PBEsol structure

Crystal system: orthorhombic
Size of the total moment, μB per atom: 0.00

Cell: 2.6137 4.5181 7.6657 Å, 90.00 90.00 90.00°
With the nearest neighbours (Å) after each atom.
Space group Imm2 (No. 44)
Unique sites:
Sc1 0.0000 0.0000 0.0000 [2 per cell]  5 Cr 2.60-2.89, 2 Sc 2.61, 5 Re 2.62-2.88
Cr1 0.0000 0.0000 0.6605 [2 per cell]  1 Re 2.44, 1 Sc 2.60, 2 Cr 2.61
Re1 0.0000 0.0000 0.3416 [2 per cell]  1 Cr 2.44, 2 Re 2.61, 1 Sc 2.62


#Q
ScCrRe | meta-GGA SCAN | single point on PBEsol structure

Crystal system: cubic
Size of the total moment, μB per atom: 0.00

Cell: 5.8482 5.8482 5.8482 Å, 90.00 90.00 90.00°
With the nearest neighbours (Å) after each atom.
Space group F-43m (No. 216)
Unique sites:
Sc1 0.0000 0.0000 0.0000 [4 per cell]  4 Cr 2.53
Cr1 0.2500 0.2500 0.2500 [4 per cell]  4 Re 2.53, 4 Sc 2.53
Re1 0.0000 0.0000 0.5000 [4 per cell]  4 Cr 2.53


#R
ScCrRe | meta-GGA SCAN | single point on PBEsol structure

Crystal system: tetragonal
Size of the total moment, μB per atom: 0.00

Cell: 3.0248 3.0248 9.8874 Å, 90.00 90.00 90.00°
With the nearest neighbours (Å) after each atom.
Space group I4mm (No. 107)
Unique sites:
Sc1 0.0000 0.0000 0.0000 [2 per cell]  4 Cr 2.80, 5 Re 2.84-3.08, 4 Sc 3.02
Cr1 0.0000 0.0000 0.6821 [2 per cell]  4 Re 2.49
Re1 0.0000 0.0000 0.3113 [2 per cell]  4 Cr 2.49


The structure with the most favorable energy is #R; the runner-up is 405 meV per atom above it.


#P
CrReSe2 | meta-GGA SCAN | single point on PBEsol structure

Crystal system: tetragonal
Size of the total moment, μB per atom: 0.00

Cell: 2.9170 2.9170 7.7137 Å, 90.00 90.00 90.00°
With the nearest neighbours (Å) after each atom.
Space group P4mm (No. 99)
Unique sites:
Cr1 0.0000 0.0000 0.0000 [1 per cell]  4 Se 2.45, 4 Re 2.73
Re1 0.5000 0.5000 0.2328 [1 per cell]  4 Se 2.55, 4 Cr 2.73
Se1 0.0000 0.0000 0.4262 [1 per cell]  4 Re 2.55
Se2 0.5000 0.5000 0.8276 [1 per cell]  4 Cr 2.45


#Q
CrReSe2 | meta-GGA SCAN | single point on PBEsol structure

Crystal system: monoclinic
Size of the total moment, μB per atom: 0.83

Cell: 3.3827 4.0227 4.9100 Å, 90.00 92.66 90.00°
With the nearest neighbours (Å) after each atom.
Space group P2/m (No. 10)
Unique sites:
Cr1 0.0000 0.0000 0.0000 [1 per cell]  4 Se 2.58
Re1 0.5000 0.0000 0.5000 [1 per cell]  4 Se 2.48
Se1 0.3121 0.5000 0.7598 [2 per cell]  2 Re 2.48, 2 Cr 2.58, 1 Se 2.63


The structure with the most favorable energy is #P; the runner-up is 449 meV per atom above it.


#P
TaCr2Re | meta-GGA SCAN | single point on PBEsol structure

Crystal system: orthorhombic
Size of the total moment, μB per atom: 0.00

Cell: 3.0262 4.3662 8.3129 Å, 90.00 90.00 90.00°
With the nearest neighbours (Å) after each atom.
Space group Cmm2 (No. 35)
Unique sites:
Ta1 0.0000 0.0000 0.0000 [2 per cell]  2 Cr 2.64, 4 Ta 2.66, 2 Re 2.76
Cr1 0.0000 0.0000 0.5235 [2 per cell]  2 Cr 2.35, 2 Re 2.54
Cr2 0.0000 0.5000 0.7402 [2 per cell]  2 Cr 2.35
Re1 0.0000 0.5000 0.2782 [2 per cell]  2 Cr 2.54, 4 Re 2.66, 2 Ta 2.76


#Q
TaCr2Re | meta-GGA SCAN | single point on PBEsol structure

Crystal system: cubic
Size of the total moment, μB per atom: 0.01

Cell: 6.0308 6.0308 6.0308 Å, 90.00 90.00 90.00°
With the nearest neighbours (Å) after each atom.
Space group F-43m (No. 216)
Unique sites:
Ta1 0.0000 0.0000 0.0000 [4 per cell]  4 Re 2.61, 4 Cr 2.61
Cr1 0.0000 0.0000 0.5000 [4 per cell]  4 Cr 2.61, 4 Re 2.61
Cr2 0.2500 0.2500 0.7500 [4 per cell]  4 Cr 2.61, 4 Ta 2.61
Re1 0.2500 0.2500 0.2500 [4 per cell]  4 Cr 2.61, 4 Ta 2.61


#R
TaCr2Re | meta-GGA SCAN | single point on PBEsol structure

Crystal system: orthorhombic
Size of the total moment, μB per atom: 0.00

Cell: 3.0284 4.3696 8.3294 Å, 90.00 90.00 90.00°
With the nearest neighbours (Å) after each atom.
Space group Cmmm (No. 65)
Unique sites:
Ta1 0.0000 0.0000 0.0000 [2 per cell]  4 Cr 2.63, 4 Ta 2.66
Cr1 0.0000 0.5000 0.2584 [4 per cell]  2 Re 2.52, 2 Ta 2.63, 4 Cr 2.66
Re1 0.0000 0.0000 0.5000 [2 per cell]  4 Cr 2.52, 4 Re 2.66


The structure with the most favorable energy is #Q; the runner-up is 179 meV per atom above it.


#P
CrRe2Tc | meta-GGA SCAN | single point on PBEsol structure

Crystal system: orthorhombic
Size of the total moment, μB per atom: 0.00

Cell: 2.9743 4.3058 8.5492 Å, 90.00 90.00 90.00°
With the nearest neighbours (Å) after each atom.
Space group Imm2 (No. 44)
Unique sites:
Cr1 0.0000 0.0000 0.0000 [2 per cell]  6 Re 2.45-2.62, 2 Tc 2.50
Re1 0.0000 0.0000 0.4940 [2 per cell]  4 Cr 2.62, 2 Re 2.72, 4 Tc 2.75-2.91
Re2 0.0000 0.5000 0.7282 [2 per cell]  2 Cr 2.45, 4 Tc 2.63, 2 Re 2.72
Tc1 0.0000 0.5000 0.2643 [2 per cell]  2 Cr 2.50, 6 Re 2.63-2.75


#Q
CrRe2Tc | meta-GGA SCAN | single point on PBEsol structure

Crystal system: cubic
Size of the total moment, μB per atom: 0.00

Cell: 6.0350 6.0350 6.0350 Å, 90.00 90.00 90.00°
With the nearest neighbours (Å) after each atom.
Space group Fm-3m (No. 225)
Unique sites:
Cr1 0.0000 0.0000 0.0000 [4 per cell]  8 Re 2.61
Re1 0.2500 0.2500 0.2500 [8 per cell]  4 Cr 2.61, 4 Tc 2.61
Tc1 0.0000 0.0000 0.5000 [4 per cell]  8 Re 2.61


The structure with the most favorable energy is #P; the runner-up is 53 meV per atom above it.


#P
CrReTe2 | meta-GGA SCAN | single point on PBEsol structure

Crystal system: cubic
Size of the total moment, μB per atom: 0.20

Cell: 6.4585 6.4585 6.4585 Å, 90.00 90.00 90.00°
With the nearest neighbours (Å) after each atom.
Space group Fm-3m (No. 225)
Unique sites:
Cr1 0.0000 0.0000 0.0000 [4 per cell]  8 Te 2.80
Re1 0.0000 0.0000 0.5000 [4 per cell]  8 Te 2.80
Te1 0.2500 0.2500 0.2500 [8 per cell]  4 Cr 2.80, 4 Re 2.80


#Q
CrReTe2 | meta-GGA SCAN | single point on PBEsol structure

Crystal system: trigonal
Size of the total moment, μB per atom: 0.00

Cell: 4.0356 4.0356 18.4811 Å, 90.00 90.00 120.00°
With the nearest neighbours (Å) after each atom.
Space group R3m (No. 160, hexagonal axes)
Unique sites:
Cr1 0.0000 0.0000 0.0000 [3 per cell]  3 Re 2.36
Re1 0.0000 0.0000 0.6879 [3 per cell]  3 Cr 2.36
Te1 0.0000 0.0000 0.2544 [3 per cell]  3 Cr 2.75, 3 Re 2.98
Te2 0.0000 0.0000 0.4391 [3 per cell]  3 Re 2.80, 3 Cr 3.04


The structure with the most favorable energy is #Q; the runner-up is 427 meV per atom above it.